[1]
Entry from Alexandria: a relaxed CePr4Sb5 crystal (PBE).

Formation energy (no corrections) ... -1167.3 meV/atom
Polymorph energy (0 for the lowest one) ... 0.000 eV per atom

Lattice parameters (Å, degrees): 12.0317 12.0317 12.0317 158.22 149.03 38.18
With the nearest neighbours (Å) after each atom.
Atoms (fractional coordinates):
Ce (0.0000, 0.0000, 0.0000)  6 Sb 3.18-3.21
Pr (0.2001, 0.2001, 0.0000)  6 Sb 3.21-3.25
Pr (0.3995, 0.3995, 0.0000)  6 Sb 3.21-3.22
Pr (0.6005, 0.6005, 0.0000)  6 Sb 3.21-3.22
Pr (0.7999, 0.7999, 0.0000)  6 Sb 3.21-3.25
Sb (0.0978, 0.5978, 0.5000)  2 Ce 3.18, 4 Pr 3.21-3.25
Sb (0.2997, 0.7997, 0.5000)  6 Pr 3.21
Sb (0.5000, 0.0000, 0.5000)  2 Ce 3.21, 4 Pr 3.22
Sb (0.7003, 0.2003, 0.5000)  6 Pr 3.21
Sb (0.9022, 0.4022, 0.5000)  2 Ce 3.18, 4 Pr 3.21-3.25

=====

[2]
Entry from Alexandria: a relaxed LaMg2Sc crystal (PBE).

Energy of formation from the pure elements ... 0.3328 eV/atom

Lattice parameters (Å, degrees): 7.2157 7.2157 7.2157 154.03 136.02 51.79
With the nearest neighbours (Å) after each atom.
Atoms (fractional coordinates):
La (0.0000, 0.0000, 0.0000)  4 Sc 3.15, 2 La 3.24, 2 Mg 3.49
Mg (0.2685, 0.2685, 0.0000)  1 Sc 3.01, 6 Mg 3.19-3.24
Mg (0.7315, 0.7315, 0.0000)  1 Sc 3.01, 6 Mg 3.19-3.24
Sc (0.5000, 0.5000, 0.0000)  2 Mg 3.01, 4 La 3.15, 2 Sc 3.24

=====

[3]
Entry from Alexandria: a relaxed KBeIr2 crystal (PBE).

Energy of formation from the pure elements ... 0.3089 eV/atom

Lattice parameters (Å, degrees): 2.7948 2.7948 8.3300 90.00 90.00 90.00
With the nearest neighbours (Å) after each atom.
Atoms (fractional coordinates):
K (0.0000, 0.0000, 0.0000)  4 K 2.79
Be (0.0000, 0.0000, 0.5000)  8 Ir 2.41
Ir (0.5000, 0.5000, 0.3337)  4 Be 2.41
Ir (0.5000, 0.5000, 0.6663)  4 Be 2.41

=====

[4]
Entry from Alexandria: a relaxed Pm2BeOs crystal (PBE).

Polymorph energy (0 for the lowest one) ... 0.286 eV per atom
Energy of formation from the pure elements ... 0.1349 eV/atom

Lattice parameters (Å, degrees): 3.5239 3.5239 6.9762 90.00 90.00 90.00
With the nearest neighbours (Å) after each atom.
Atoms (fractional coordinates):
Pm (0.0000, 0.0000, 0.2465)  4 Os 3.03, 4 Be 3.06
Pm (0.0000, 0.0000, 0.7535)  4 Os 3.03, 4 Be 3.06
Be (0.5000, 0.5000, 0.5000)  8 Pm 3.06
Os (0.5000, 0.5000, 0.0000)  8 Pm 3.03

=====

[5]
Entry from Alexandria: a relaxed TbErNiRu crystal (PBE).

Polymorph energy (0 for the lowest one) ... 0.019 eV per atom
Energy of formation from the pure elements ... -0.4047 eV/atom

Lattice parameters (Å, degrees): 4.7837 4.7837 4.7837 60.00 60.00 60.00
With the nearest neighbours (Å) after each atom.
Atoms (fractional coordinates):
Tb (0.0000, 0.0000, 0.0000)  4 Ru 2.93, 4 Ni 2.93
Er (0.5000, 0.5000, 0.5000)  4 Ru 2.93, 4 Ni 2.93
Ni (0.2500, 0.2500, 0.2500)  4 Tb 2.93, 4 Er 2.93
Ru (0.7500, 0.7500, 0.7500)  4 Er 2.93, 4 Tb 2.93

=====

[6]
Entry from Alexandria: a relaxed Ho4NiAu crystal (PBE).

Energy of formation from the pure elements ... -0.3406 eV/atom

Lattice parameters (Å, degrees): 6.8543 6.9411 6.8355 90.00 94.36 90.00
With the nearest neighbours (Å) after each atom.
Atoms (fractional coordinates):
Ho (0.1547, 0.1650, 0.1851)  2 Ni 2.72-2.82, 1 Au 2.99
Ho (0.1547, 0.3350, 0.6851)  2 Ni 2.72-2.82, 1 Au 2.99
Ho (0.3247, 0.6547, 0.1308)  1 Ni 2.57, 1 Au 2.86
Ho (0.3247, 0.8453, 0.6308)  1 Ni 2.57, 1 Au 2.86
Ho (0.6753, 0.1547, 0.3692)  1 Ni 2.57, 1 Au 2.86
Ho (0.6753, 0.3453, 0.8692)  1 Ni 2.57, 1 Au 2.86
Ho (0.8453, 0.6650, 0.3149)  2 Ni 2.72-2.82, 1 Au 2.99
Ho (0.8453, 0.8350, 0.8149)  2 Ni 2.72-2.82, 1 Au 2.99
Ni (0.0000, 0.0000, 0.5000)  6 Ho 2.57-2.82
Ni (0.0000, 0.5000, 0.0000)  6 Ho 2.57-2.82
Au (0.5000, 0.0000, 0.0000)  6 Ho 2.86-2.99
Au (0.5000, 0.5000, 0.5000)  6 Ho 2.86-2.99

=====

[7]
Entry from Alexandria: a relaxed TbHo4Ge4 crystal (PBE).

Energy of formation from the pure elements ... -0.5776 eV/atom

Lattice parameters (Å, degrees): 9.1322 9.1322 5.7908 90.00 90.00 90.00
With the nearest neighbours (Å) after each atom.
Atoms (fractional coordinates):
Tb (0.2500, 0.2500, 0.2500)  4 Ge 2.90
Tb (0.7500, 0.7500, 0.7500)  4 Ge 2.90
Ho (0.0811, 0.6541, 0.1376)  5 Ge 2.91-2.98
Ho (0.1541, 0.9189, 0.6376)  5 Ge 2.91-2.98
Ho (0.3459, 0.5811, 0.6376)  5 Ge 2.91-2.98
Ho (0.4189, 0.8459, 0.1376)  5 Ge 2.91-2.98
Ho (0.5811, 0.1541, 0.8624)  5 Ge 2.91-2.98
Ho (0.6541, 0.4189, 0.3624)  5 Ge 2.91-2.98
Ho (0.8459, 0.0811, 0.3624)  5 Ge 2.91-2.98
Ho (0.9189, 0.3459, 0.8624)  5 Ge 2.91-2.98
Ge (0.0294, 0.6168, 0.6390)  1 Ge 2.73, 1 Tb 2.90, 5 Ho 2.91-2.98
Ge (0.1168, 0.9706, 0.1390)  1 Ge 2.73, 1 Tb 2.90, 5 Ho 2.91-2.98
Ge (0.3832, 0.5294, 0.1390)  1 Ge 2.73, 1 Tb 2.90, 5 Ho 2.91-2.98
Ge (0.4706, 0.8832, 0.6390)  1 Ge 2.73, 1 Tb 2.90, 5 Ho 2.91-2.98
Ge (0.5294, 0.1168, 0.3610)  1 Ge 2.73, 1 Tb 2.90, 5 Ho 2.91-2.98
Ge (0.6168, 0.4706, 0.8610)  1 Ge 2.73, 1 Tb 2.90, 5 Ho 2.91-2.98
Ge (0.8832, 0.0294, 0.8610)  1 Ge 2.73, 1 Tb 2.90, 5 Ho 2.91-2.98
Ge (0.9706, 0.3832, 0.3610)  1 Ge 2.73, 1 Tb 2.90, 5 Ho 2.91-2.98

=====

[8]
Entry from Alexandria: a relaxed LiAgTeS2 crystal (PBE).

Formation energy (no corrections) ... 336.1 meV/atom

Lattice parameters (Å, degrees): 4.6239 4.6239 4.6378 90.00 90.00 90.00
With the nearest neighbours (Å) after each atom.
Atoms (fractional coordinates):
Li (0.0000, 0.0000, 0.0000)  4 S 2.31, 2 Ag 2.32
Ag (0.0000, 0.0000, 0.5000)  2 Li 2.32
Te (0.5000, 0.5000, 0.5000)  4 Ag 3.27, 8 S 3.27
S (0.0000, 0.5000, 0.0000)  2 Li 2.31
S (0.5000, 0.0000, 0.0000)  2 Li 2.31

=====

| no. | energy (eV per formula unit) |
| --- | --- |
| 1 | -57.34 |
| 2 | -13.12 |
| 3 | -21.31 |
| 4 | -23.92 |
| 5 | -25.87 |
| 6 | -29.41 |
| 7 | -46.61 |
| 8 | -14.48 |